1.
Below is an optimized crystal structure of RbIrRuW2, with properties calculated at the PBE-GGA level.

a = 4.7713 Å, b = 5.6233 Å, c = 4.7713 Å
α = 90.00°, β = 90.00°, γ = 90.00°
Last column: magnetic moment on the atom in μB.
Element x y z (fractional)
W 0.5000 0.0000 0.0000  0.57
W 0.0000 0.0000 0.5000  0.45
Ir 0.0000 0.0000 0.0000  0.00
Ru 0.5000 0.5000 0.5000  -0.06
Rb 0.0000 0.5000 0.0000  0.01

## Properties
* symmetry: P4/mmm, No. 123

***

2.
Below is an optimized crystal structure of RbZnIr2Ru, with properties calculated at the PBE-GGA level.

a = 4.7975 Å, b = 5.0007 Å, c = 4.7975 Å
α = 90.00°, β = 90.00°, γ = 90.00°
Last column: magnetic moment on the atom in μB.
Element x y z (fractional)
Ir 0.0000 0.0000 0.5000  0.33
Ir 0.5000 0.0000 0.0000  0.50
Rb 0.0000 0.0000 0.0000  -0.01
Zn 0.0000 0.5000 0.0000  -0.02
Ru 0.5000 0.5000 0.5000  2.39

## Properties
* symmetry: P4/mmm, No. 123

***

Number 1: formation energy 2.585 eV/atom, Fermi-level density of states 2.268 states/eV per atom. Number 2: formation energy 3.087 eV/atom, Fermi-level density of states 1.054 states/eV per atom.